[1]
A relaxed NdYRu crystal, computed with PBE.

Output
E	-7.11	eV per atom
offset from the most stable computed form	0	meV/atom
magnetic moment	0.00	μB per formula unit
formation energy from the elements	-270	meV/atom

POSCAR file:
```
NdYRu
1.0
6.515 0.000 0.000
0.000 7.317 0.000
0.000 0.000 6.655
Nd Y Ru
4 4 4
direct
0.107 0.109 0.250
0.107 0.391 0.750
0.893 0.609 0.250
0.893 0.891 0.750
0.430 0.750 0.000
0.430 0.750 0.500
0.570 0.250 0.000
0.570 0.250 0.500
0.285 0.043 0.750
0.285 0.457 0.250
0.715 0.543 0.750
0.715 0.957 0.250
```

=====

[2]
A relaxed Nd2Y3Ru2 crystal, computed with PBE.

Output
E	-7.05	eV per atom
magnetic moment	0.00	μB per formula unit
formation energy from the elements	-268	meV/atom

POSCAR file:
```
Nd2Y3Ru2
1.0
6.111 -1.937 0.000
6.111 1.937 0.000
-3.808 0.000 8.039
Nd Y Ru
2 3 2
direct
0.165 0.165 0.303
0.835 0.835 0.697
0.378 0.378 0.075
0.500 0.500 0.500
0.622 0.622 0.925
0.179 0.179 0.731
0.821 0.821 0.269
```